Record 1
{
  "formula": "TaIr2",
  "functional": "PBE",
  "state": "relaxed",
  "lattice_angstrom": [[-1.413, 1.413, 5.876], [1.413, -1.413, 5.876], [1.413, 1.413, -5.876]],
  "species": ["Ta", "Ir", "Ir"],
  "fractional_positions": [[0.000, 0.000, 0.000], [0.334, 0.334, 0.000], [0.666, 0.666, 0.000]],
  "energy_ev_per_cell": -30.678,
  "formation_enthalpy_0k_ev_per_fu": -1.1,
  "spacegroup": "I4/mmm",
  "n_ef_per_ev_cell": 3.58
}

***

Record 2
{
  "formula": "Ho6InTe3P2",
  "functional": "PBE",
  "state": "relaxed",
  "lattice_angstrom": [[9.276, -2.068, 0.000], [9.276, 2.068, 0.000], [-2.146, 0.000, 8.387]],
  "species": ["Ho", "Ho", "Ho", "Ho", "Ho", "Ho", "In", "Te", "Te", "Te", "P", "P"],
  "fractional_positions": [[0.012, 0.012, 0.254], [0.324, 0.324, 0.437], [0.333, 0.333, 0.886], [0.667, 0.667, 0.114], [0.676, 0.676, 0.563], [0.988, 0.988, 0.746], [0.500, 0.500, 0.000], [0.164, 0.164, 0.831], [0.500, 0.500, 0.500], [0.836, 0.836, 0.169], [0.169, 0.169, 0.339], [0.831, 0.831, 0.661]],
  "energy_ev_per_cell": -65.663,
  "raw_formation_energy_kj_per_mol_atoms": -122.3,
  "spacegroup": "C2/m",
  "n_ef_per_ev_cell": 3.97
}

***

Record 3
{
  "formula": "ErAlCo",
  "functional": "PBE",
  "state": "relaxed",
  "lattice_angstrom": [[-1.555, 1.555, 5.385], [1.555, -1.555, 5.385], [1.555, 1.555, -5.385]],
  "species": ["Er", "Al", "Co"],
  "fractional_positions": [[0.000, 0.000, 0.000], [0.282, 0.282, 0.000], [0.670, 0.670, 0.000]],
  "energy_ev_per_cell": -16.370,
  "formation_enthalpy_0k_ev_per_fu": -1.0,
  "spacegroup": "I4mm",
  "n_ef_per_ev_cell": 1.71
}

***

Record 4
{
  "formula": "SrAgRh",
  "functional": "PBE",
  "state": "relaxed",
  "lattice_angstrom": [[4.530, 0.000, 0.000], [-2.265, 3.924, 0.000], [0.000, 0.000, 4.180]],
  "species": ["Sr", "Ag", "Rh"],
  "fractional_positions": [[0.000, 0.000, 0.000], [0.667, 0.333, 0.500], [0.333, 0.667, 0.500]],
  "energy_ev_per_cell": -11.999,
  "formation_enthalpy_0k_ev_per_fu": -0.1,
  "relative_energy_mev_per_atom": 191,
  "spacegroup": "P-6m2",
  "n_ef_per_ev_cell": 2.11
}

***

Record 5
{
  "formula": "TiNbHIr2",
  "functional": "PBE",
  "state": "relaxed",
  "lattice_angstrom": [[4.011, 0.000, 0.000], [0.000, 4.011, 0.000], [0.000, 0.000, 4.002]],
  "species": ["Ti", "Nb", "H", "Ir", "Ir"],
  "fractional_positions": [[0.000, 0.000, 0.000], [0.500, 0.500, 0.000], [0.000, 0.000, 0.500], [0.000, 0.500, 0.500], [0.500, 0.000, 0.500]],
  "energy_ev_per_cell": -41.276,
  "spacegroup": "P4/mmm",
  "n_ef_per_ev_cell": 4.53
}

***

Record 6
{
  "formula": "YAg2Se",
  "functional": "PBE",
  "state": "relaxed",
  "lattice_angstrom": [[-2.487, 2.487, 3.506], [2.487, -2.487, 3.506], [2.487, 2.487, -3.506]],
  "species": ["Y", "Ag", "Ag", "Se"],
  "fractional_positions": [[0.000, 0.000, 0.000], [0.250, 0.750, 0.500], [0.500, 0.500, 0.000], [0.750, 0.250, 0.500]],
  "energy_ev_per_cell": -17.379,
  "raw_formation_energy_kj_per_mol_atoms": -41.7,
  "spacegroup": "I-4m2",
  "n_ef_per_ev_cell": 3.85
}

***

Record 7
{
  "formula": "BiIF3",
  "functional": "PBE",
  "state": "relaxed",
  "lattice_angstrom": [[4.674, 0.000, 0.000], [0.000, 4.674, 0.000], [0.000, 0.000, 4.674]],
  "species": ["Bi", "I", "F", "F", "F"],
  "fractional_positions": [[0.000, 0.000, 0.000], [0.500, 0.500, 0.500], [0.000, 0.000, 0.500], [0.000, 0.500, 0.000], [0.500, 0.000, 0.000]],
  "energy_ev_per_cell": -19.070,
  "raw_formation_energy_kj_per_mol_atoms": -154.9,
  "relative_energy_mev_per_atom": 295,
  "spacegroup": "Pm-3m",
  "n_ef_per_ev_cell": 5.28
}

***

Record 8
{
  "formula": "Fe2PAu",
  "functional": "PBE",
  "state": "relaxed",
  "lattice_angstrom": [[3.300, -1.916, 0.000], [3.300, 1.916, 0.000], [-2.223, 0.000, 4.375]],
  "species": ["Fe", "Fe", "P", "Au"],
  "fractional_positions": [[0.211, 0.211, 0.133], [0.789, 0.789, 0.867], [0.500, 0.500, 0.000], [0.000, 0.000, 0.500]],
  "energy_ev_per_cell": -25.442,
  "formation_enthalpy_0k_ev_per_fu": 0.2,
  "spacegroup": "C2/m",
  "n_ef_per_ev_cell": 4.57
}

***

Record 9
{
  "formula": "Pm2MgF8",
  "functional": "PBE",
  "state": "relaxed",
  "lattice_angstrom": [[6.661, -2.057, 0.000], [6.661, 2.057, 0.000], [-0.428, 0.000, 7.053]],
  "species": ["Pm", "Pm", "Mg", "F", "F", "F", "F", "F", "F", "F", "F"],
  "fractional_positions": [[0.239, 0.239, 0.247], [0.761, 0.761, 0.753], [0.755, 0.245, 0.500], [0.046, 0.107, 0.318], [0.238, 0.238, 0.599], [0.296, 0.309, 0.944], [0.414, 0.395, 0.347], [0.605, 0.586, 0.653], [0.691, 0.704, 0.056], [0.762, 0.762, 0.401], [0.893, 0.954, 0.682]],
  "energy_ev_per_cell": -68.681,
  "raw_formation_energy_kj_per_mol_atoms": -373.8,
  "relative_energy_mev_per_atom": 0,
  "spacegroup": "C2",
  "n_ef_per_ev_cell": 0.00
}

***

Record 10
{
  "formula": "Tm3Ga4Au2",
  "functional": "PBE",
  "state": "relaxed",
  "lattice_angstrom": [[5.264, -2.246, 0.000], [5.264, 2.246, 0.000], [-3.351, 0.000, 7.727]],
  "species": ["Tm", "Tm", "Tm", "Ga", "Ga", "Ga", "Ga", "Au", "Au"],
  "fractional_positions": [[0.000, 0.000, 0.000], [0.326, 0.326, 0.345], [0.674, 0.674, 0.655], [0.025, 0.025, 0.363], [0.257, 0.257, 0.924], [0.743, 0.743, 0.076], [0.975, 0.975, 0.637], [0.397, 0.397, 0.729], [0.603, 0.603, 0.271]],
  "energy_ev_per_cell": -38.715,
  "formation_enthalpy_0k_ev_per_fu": -6.6,
  "spacegroup": "C2/m",
  "n_ef_per_ev_cell": 3.41
}

***

Record 11
{
  "formula": "YNiSe2",
  "functional": "PBE",
  "state": "relaxed",
  "lattice_angstrom": [[2.111, 1.219, 7.559], [-2.111, 1.219, 7.559], [0.000, -2.437, 7.559]],
  "species": ["Y", "Ni", "Se", "Se"],
  "fractional_positions": [[0.000, 0.000, 0.000], [0.500, 0.500, 0.500], [0.400, 0.400, 0.400], [0.600, 0.600, 0.600]],
  "energy_ev_per_cell": -22.611,
  "raw_formation_energy_kj_per_mol_atoms": -81.9,
  "spacegroup": "R-3m",
  "n_ef_per_ev_cell": 7.25
}

***

Record 12
{
  "formula": "ZrBeI2",
  "functional": "PBE",
  "state": "relaxed",
  "lattice_angstrom": [[-3.187, 3.187, 5.456], [3.187, -3.187, 5.456], [3.187, 3.187, -5.456]],
  "species": ["Zr", "Zr", "Be", "Be", "I", "I", "I", "I"],
  "fractional_positions": [[0.000, 0.000, 0.000], [0.750, 0.250, 0.500], [0.250, 0.750, 0.500], [0.500, 0.500, 0.000], [0.184, 0.625, 0.059], [0.375, 0.434, 0.559], [0.566, 0.125, 0.941], [0.875, 0.816, 0.441]],
  "energy_ev_per_cell": -26.135,
  "raw_formation_energy_kj_per_mol_atoms": 55.6,
  "relative_energy_mev_per_atom": 131,
  "spacegroup": "I-42d",
  "n_ef_per_ev_cell": 6.80
}